Below is a relaxed structure of CaTbRu2O8, with properties calculated at the GGA-PBE level.

Cell lengths 5.8890, 5.8890, 6.8276 Å; angles 90.00, 90.00, 120.00 degrees
Last column: nearest neighbours and their distance in Å.
Positions (direct):
O (0.3333, 0.6667, 0.0656)  1 Ru 1.76
O (0.8387, 0.1609, 0.2714)  1 Ru 1.84
O (0.6778, 0.8387, 0.7286)  1 Ru 1.84
O (0.1609, 0.3222, 0.7286)  1 Ru 1.84
O (0.8391, 0.6778, 0.2714)  1 Ru 1.84
O (0.3222, 0.1613, 0.2714)  1 Ru 1.84
O (0.6667, 0.3333, 0.9344)  1 Ru 1.76
O (0.1613, 0.8391, 0.7286)  1 Ru 1.84
Tb (0.0000, 0.0000, 0.5000)  6 O 2.27
Ca (0.0000, 0.0000, 0.0000)  6 O 2.48
Ru (0.3333, 0.6667, 0.8078)  4 O 1.76-1.84
Ru (0.6667, 0.3333, 0.1922)  4 O 1.76-1.84

Calculated values
Total magnetization (μB per atom): 0.2510
SG: P-3m1
Uncorrected energy (eV for the cell shown): -84.3
ΔE_f (raw) (eV/f.u.): -19.476